[1]
La2SnSb: relaxed, PBE.

Output
The calculation puts the formation energy from raw total energies at -0.785 eV/atom. For the energy above the lowest structure with this stoichiometry, the calculation gives 248.8 meV per atom.

abc: 7.9320 7.9320 7.9320
angles: 90.00 90.00 90.00
Space group Fm-3m (No. 225)
One atom of each set of equivalent atoms:
La 0.2500 0.2500 0.2500 [8 per cell]
Sn 0.0000 0.0000 0.0000 [4 per cell]
Sb 0.0000 0.0000 0.5000 [4 per cell]

[2]
ZrRe2P: relaxed, PBE.

Output
The formation energy comes out at 0.125 eV per atom.

abc: 3.2529 4.9191 8.0488
angles: 90.00 90.00 90.00
Space group Cmmm (No. 65)
One atom of each set of equivalent atoms:
Zr 0.0000 0.0000 0.0000 [2 per cell]
Re 0.0000 0.5000 0.2857 [4 per cell]
P 0.0000 0.0000 0.5000 [2 per cell]

[3]
TaTi5Ge4: relaxed, PBE.

Output
The formation energy comes out at -0.239 eV per atom.

abc: 12.9126 4.2044 6.6059
angles: 90.00 90.70 90.00
Space group C2/m (No. 12)
One atom of each set of equivalent atoms:
Ta 0.0000 0.0000 0.0000 [2 per cell]
Ti 0.0000 0.0000 0.5000 [2 per cell]
Ti 0.1582 0.5000 0.9880 [4 per cell]
Ti 0.1667 0.5000 0.5101 [4 per cell]
Ge 0.0147 0.5000 0.2566 [4 per cell]
Ge 0.1841 0.0000 0.7530 [4 per cell]